No. 1
A geometry-optimized Mn2Fe structure, computed with PBEsol.

Cell: 2.4218 3.4398 4.2125 Å, 114.10 106.71 90.00°
Last column: nearest neighbours and their distance in Å.
Sites, in units of the cell vectors:
Fe: 0.0000 0.0000 0.0000  2 Fe 2.42, 10 Mn 2.43-2.44
Mn: 0.3343 0.3343 0.6687  7 Mn 2.42-2.44, 5 Fe 2.43-2.44
Mn: 0.6657 0.6657 0.3313  7 Mn 2.42-2.44, 5 Fe 2.43-2.44

Summary:
- D(E_F): 1.571 states/eV/atom
- Energy of formation: 0.074 eV/atom

***

No. 2
A geometry-optimized Mn2Fe structure, computed with PBEsol.

Cell: 3.4427 3.4402 5.4347 Å, 90.00 108.47 90.00°
Last column: nearest neighbours and their distance in Å.
Sites, in units of the cell vectors:
Fe: 0.4177 0.7500 0.8355  2 Fe 2.42, 10 Mn 2.42-2.44
Fe: 0.5823 0.2500 0.1645  2 Fe 2.42, 10 Mn 2.42-2.44
Mn: 0.7505 0.7500 0.5010  8 Mn 2.43-2.44, 4 Fe 2.44
Mn: 0.2495 0.2500 0.4990  8 Mn 2.43-2.44, 4 Fe 2.44
Mn: 0.0825 0.7500 0.1650  6 Fe 2.42-2.43, 6 Mn 2.42-2.44
Mn: 0.9175 0.2500 0.8350  6 Fe 2.42-2.43, 6 Mn 2.42-2.44

Summary:
- D(E_F): 1.420 states/eV/atom
- Energy of formation: 0.065 eV/atom

***

No. 3
A geometry-optimized MnFe2 structure, computed with PBEsol.

Cell: 2.4275 3.4571 4.2371 Å, 114.08 106.65 90.00°
Last column: nearest neighbours and their distance in Å.
Sites, in units of the cell vectors:
Mn: 0.5000 0.5000 0.0000  2 Mn 2.43, 10 Fe 2.44-2.46
Fe: 0.8342 0.8342 0.6685  7 Fe 2.43-2.45, 5 Mn 2.44-2.46
Fe: 0.1658 0.1658 0.3315  7 Fe 2.43-2.45, 5 Mn 2.44-2.46

Summary:
- D(E_F): 1.374 states/eV/atom
- Energy of formation: 0.061 eV/atom

***

No. 4
A geometry-optimized Mn2Fe structure, computed with PBEsol.

Cell: 2.4114 3.8234 3.8234 Å, 120.00 90.00 90.00°
Last column: nearest neighbours and their distance in Å.
Sites, in units of the cell vectors:
Mn: 0.0000 0.6667 0.3333  5 Mn 2.21-2.41
Mn: 0.0000 0.3333 0.6667  5 Mn 2.21-2.41
Fe: 0.5000 0.0000 0.0000  2 Fe 2.41, 12 Mn 2.52

Summary:
- D(E_F): 0.947 states/eV/atom
- Energy of formation: 0.073 eV/atom

***

No. 5
A geometry-optimized Mn2Fe structure, computed with PBEsol.

Cell: 2.4393 4.6048 5.7601 Å, 103.64 90.00 105.36°
Last column: nearest neighbours and their distance in Å.
Sites, in units of the cell vectors:
Mn: 0.0572 0.1143 0.6108  3 Fe 2.39-2.42, 9 Mn 2.39-2.45
Mn: 0.3331 0.6661 0.6650  8 Mn 2.39-2.44, 4 Fe 2.44-2.45
Mn: 0.3895 0.7791 0.2773  5 Fe 2.40-2.42, 7 Mn 2.41-2.45
Mn: 0.7205 0.4409 0.9465  4 Fe 2.39-2.43, 8 Mn 2.43-2.44
Fe: 0.6658 0.3317 0.3334  8 Mn 2.39-2.44, 4 Fe 2.44
Fe: 0.0006 0.0013 0.0002  8 Mn 2.39-2.45, 4 Fe 2.44

Summary:
- D(E_F): 1.127 states/eV/atom
- Energy of formation: -0.001 eV/atom

***

No. 6
A geometry-optimized Mn3Fe structure, computed with PBEsol.

Cell: 2.4559 4.2332 4.2332 Å, 109.07 90.00 90.00°
Last column: nearest neighbours and their distance in Å.
Sites, in units of the cell vectors:
Fe: 0.0000 0.0000 0.0000  10 Mn 2.45-2.46, 2 Fe 2.46
Mn: 0.0000 0.5000 0.5000  10 Mn 2.45-2.46, 2 Fe 2.46
Mn: 0.5000 0.0000 0.5000  4 Fe 2.45, 8 Mn 2.45-2.46
Mn: 0.5000 0.5000 0.0000  8 Mn 2.45-2.46, 4 Fe 2.45

Summary:
- D(E_F): 1.385 states/eV/atom
- Energy of formation: 0.054 eV/atom

***

No. 7
A geometry-optimized Mn3Fe structure, computed with PBEsol.

Cell: 2.7851 2.7851 5.4879 Å, 90.00 90.00 90.00°
Last column: nearest neighbours and their distance in Å.
Sites, in units of the cell vectors:
Mn: 0.0000 0.0000 0.5000  8 Mn 2.40
Mn: 0.5000 0.5000 0.7507  4 Fe 2.40, 4 Mn 2.40
Mn: 0.5000 0.5000 0.2493  4 Fe 2.40, 4 Mn 2.40
Fe: 0.0000 0.0000 0.0000  8 Mn 2.40

Summary:
- D(E_F): 1.349 states/eV/atom
- Energy of formation: 0.145 eV/atom

***

No. 8
A geometry-optimized Mn2Fe structure, computed with PBEsol.

Cell: 2.4319 2.4319 5.9724 Å, 90.00 90.00 120.00°
Last column: nearest neighbours and their distance in Å.
Sites, in units of the cell vectors:
Mn: 0.3333 0.6667 0.3341  9 Mn 2.43, 3 Fe 2.44
Mn: 0.6667 0.3333 0.6659  9 Mn 2.43, 3 Fe 2.44
Fe: 0.0000 0.0000 0.0000  6 Fe 2.43, 6 Mn 2.44

Summary:
- D(E_F): 1.413 states/eV/atom
- Energy of formation: 0.079 eV/atom

***

No. 9
A geometry-optimized Mn3Fe structure, computed with PBEsol.

Cell: 2.4430 3.9130 4.2376 Å, 90.00 90.00 90.00°
Last column: nearest neighbours and their distance in Å.
Sites, in units of the cell vectors:
Mn: 0.5000 0.5000 0.8337  4 Fe 2.41, 8 Mn 2.41-2.45
Mn: 0.0000 0.5000 0.3334  10 Mn 2.41-2.45, 2 Fe 2.42
Mn: 0.5000 0.0000 0.5017  8 Mn 2.41-2.44, 4 Fe 2.43-2.46
Fe: 0.0000 0.0000 0.9979  10 Mn 2.41-2.46, 2 Fe 2.44

Summary:
- D(E_F): 1.195 states/eV/atom
- Energy of formation: 0.010 eV/atom

***

No. 10
A geometry-optimized MnFe2 structure, computed with PBEsol.

Cell: 2.4380 3.8559 6.4431 Å, 90.00 100.91 90.00°
Last column: nearest neighbours and their distance in Å.
Sites, in units of the cell vectors:
Mn: 0.8886 0.2500 0.7772  10 Fe 2.38-2.45, 2 Mn 2.44
Mn: 0.1114 0.7500 0.2228  10 Fe 2.38-2.45, 2 Mn 2.44
Fe: 0.7779 0.7500 0.5559  4 Mn 2.38-2.43, 8 Fe 2.39-2.44
Fe: 0.2221 0.2500 0.4441  4 Mn 2.38-2.43, 8 Fe 2.39-2.44
Fe: 0.4437 0.7500 0.8874  6 Mn 2.39-2.45, 6 Fe 2.40-2.44
Fe: 0.5563 0.2500 0.1126  6 Mn 2.39-2.45, 6 Fe 2.40-2.44

Summary:
- D(E_F): 1.235 states/eV/atom
- Energy of formation: -0.021 eV/atom

***

No. 11
A geometry-optimized Mn3Fe structure, computed with PBEsol.

Cell: 2.4443 2.4443 7.8345 Å, 90.00 90.00 120.00°
Last column: nearest neighbours and their distance in Å.
Sites, in units of the cell vectors:
Mn: 0.3333 0.6667 0.7524  3 Fe 2.40, 9 Mn 2.43-2.44
Mn: 0.0000 0.0000 0.5000  12 Mn 2.43-2.44
Mn: 0.3333 0.6667 0.2476  3 Fe 2.40, 9 Mn 2.43-2.44
Fe: 0.0000 0.0000 0.0000  6 Mn 2.40, 6 Fe 2.44

Summary:
- D(E_F): 1.212 states/eV/atom
- Energy of formation: 0.017 eV/atom

***

No. 12
A geometry-optimized Mn3Fe structure, computed with PBEsol.

Cell: 4.3449 4.3449 4.3449 Å, 90.00 90.00 90.00°
Last column: nearest neighbours and their distance in Å.
Sites, in units of the cell vectors:
Mn: 0.0000 0.7500 0.5000  2 Mn 2.17, 4 Fe 2.43
Mn: 0.0000 0.2500 0.5000  2 Mn 2.17, 4 Fe 2.43
Mn: 0.5000 0.0000 0.2500  2 Mn 2.17, 4 Fe 2.43
Mn: 0.5000 0.0000 0.7500  2 Mn 2.17, 4 Fe 2.43
Mn: 0.7500 0.5000 0.0000  2 Mn 2.17, 4 Fe 2.43
Mn: 0.2500 0.5000 0.0000  2 Mn 2.17, 4 Fe 2.43
Fe: 0.5000 0.5000 0.5000  12 Mn 2.43
Fe: 0.0000 0.0000 0.0000  12 Mn 2.43

Summary:
- D(E_F): 1.586 states/eV/atom
- Energy of formation: 0.066 eV/atom

***

No. 13
A geometry-optimized Mn3Fe structure, computed with PBEsol.

Cell: 2.4570 3.4469 4.9178 Å, 90.00 90.00 90.00°
Last column: nearest neighbours and their distance in Å.
Sites, in units of the cell vectors:
Mn: 0.5000 0.5000 0.7519  8 Mn 2.44-2.48, 4 Fe 2.44
Mn: 0.5000 0.5000 0.2481  8 Mn 2.44-2.48, 4 Fe 2.44
Mn: 0.0000 0.0000 0.5000  10 Mn 2.45-2.46, 2 Fe 2.46
Fe: 0.0000 0.0000 0.0000  10 Mn 2.44-2.46, 2 Fe 2.46

Summary:
- D(E_F): 1.306 states/eV/atom
- Energy of formation: 0.055 eV/atom

***

No. 14
A geometry-optimized Mn3Fe structure, computed with PBEsol.

Cell: 2.4311 4.2145 4.2185 Å, 99.43 90.00 106.76°
Last column: nearest neighbours and their distance in Å.
Sites, in units of the cell vectors:
Mn: 0.7478 0.4956 0.2465  9 Mn 2.41-2.45, 3 Fe 2.42-2.44
Mn: 0.2522 0.5044 0.7535  9 Mn 2.41-2.45, 3 Fe 2.42-2.44
Mn: 0.5000 0.0000 0.5000  8 Mn 2.42-2.45, 4 Fe 2.43
Fe: 0.0000 0.0000 0.0000  10 Mn 2.42-2.44, 2 Fe 2.43

Summary:
- D(E_F): 1.443 states/eV/atom
- Energy of formation: 0.073 eV/atom

***

No. 15
A geometry-optimized MnFe8 structure, computed with PBEsol.

Cell: 3.4292 5.4444 5.4444 Å, 84.31 71.64 71.64°
Last column: nearest neighbours and their distance in Å.
Sites, in units of the cell vectors:
Fe: 0.0000 0.3297 0.6703  1 Mn 2.41, 11 Fe 2.42-2.49
Fe: 0.3297 0.6703 0.6703  1 Mn 2.41, 11 Fe 2.42-2.49
Fe: 0.6703 0.3297 0.3297  1 Mn 2.41, 11 Fe 2.42-2.49
Fe: 0.6642 0.6716 0.0000  10 Fe 2.40-2.47, 2 Mn 2.41
Fe: 0.3358 0.3284 0.0000  10 Fe 2.40-2.47, 2 Mn 2.41
Fe: 0.0000 0.6703 0.3297  1 Mn 2.41, 11 Fe 2.42-2.49
Fe: 0.3358 0.0000 0.3284  10 Fe 2.40-2.47, 2 Mn 2.41
Fe: 0.6642 0.0000 0.6716  10 Fe 2.40-2.47, 2 Mn 2.41
Mn: 0.0000 0.0000 0.0000  12 Fe 2.41

Summary:
- D(E_F): 1.302 states/eV/atom
- Energy of formation: 0.073 eV/atom

***

No. 16
A geometry-optimized MnFe2 structure, computed with PBEsol.

Cell: 2.4346 4.5632 5.7202 Å, 103.27 90.00 105.47°
Last column: nearest neighbours and their distance in Å.
Sites, in units of the cell vectors:
Fe: 0.3330 0.6660 0.6667  5 Mn 2.38-2.39, 7 Fe 2.39-2.44
Fe: 0.3890 0.7780 0.2772  8 Fe 2.38-2.43, 4 Mn 2.43
Fe: 0.6673 0.3347 0.3332  3 Mn 2.38-2.39, 9 Fe 2.38-2.44
Fe: 0.9999 0.9997 0.0001  4 Mn 2.38-2.39, 8 Fe 2.38-2.44
Mn: 0.0545 0.1089 0.6103  8 Fe 2.38-2.43, 4 Mn 2.43-2.45
Mn: 0.7230 0.4460 0.9458  8 Fe 2.38-2.43, 4 Mn 2.43-2.45

Summary:
- D(E_F): 1.149 states/eV/atom
- Energy of formation: -0.017 eV/atom

***

No. 17
A geometry-optimized Mn3Fe structure, computed with PBEsol.

Cell: 3.4768 3.4768 4.2314 Å, 114.26 114.26 90.00°
Last column: nearest neighbours and their distance in Å.
Sites, in units of the cell vectors:
Mn: 0.5000 0.5000 0.0000  8 Mn 2.45, 4 Fe 2.46
Mn: 0.7500 0.2500 0.5000  8 Mn 2.45-2.46, 4 Fe 2.45
Mn: 0.2500 0.7500 0.5000  8 Mn 2.45-2.46, 4 Fe 2.45
Fe: 0.0000 0.0000 0.0000  12 Mn 2.45-2.46

Summary:
- D(E_F): 1.270 states/eV/atom
- Energy of formation: 0.048 eV/atom

***

No. 18
A geometry-optimized MnFe2Mo structure, computed with PBEsol.

Cell: 3.0172 3.9679 3.9679 Å, 90.00 90.00 90.00°
Last column: nearest neighbours and their distance in Å.
Sites, in units of the cell vectors:
Fe: 0.0000 0.0000 0.5000  4 Mn 2.49, 4 Mo 2.49
Fe: 0.0000 0.5000 0.0000  4 Mn 2.49, 4 Mo 2.49
Mn: 0.5000 0.5000 0.5000  8 Fe 2.49
Mo: 0.5000 0.0000 0.0000  8 Fe 2.49

Summary:
- D(E_F): 0.682 states/eV/atom
- ΔE to the lowest computed polymorph: 45 meV per atom
- Energy of formation: 0.120 eV/atom

***

No. 19
A geometry-optimized MnFeMo structure, computed with PBEsol.

Cell: 2.5430 4.1085 4.1085 Å, 120.00 90.00 90.00°
Last column: nearest neighbours and their distance in Å.
Sites, in units of the cell vectors:
Mo: 0.3366 0.3333 0.6667  3 Mn 2.51, 3 Fe 2.52, 2 Mo 2.54
Mn: 0.6631 0.6667 0.3333  3 Mo 2.51, 3 Fe 2.52, 2 Mn 2.54
Fe: 0.0003 0.0000 0.0000  3 Mo 2.52, 3 Mn 2.52, 2 Fe 2.54

Summary:
- D(E_F): 0.893 states/eV/atom
- Energy of formation: 0.120 eV/atom

***

No. 20
A geometry-optimized Mn2FeMo structure, computed with PBEsol.

Cell: 2.5164 4.6935 4.7892 Å, 117.00 101.28 97.88°
Last column: nearest neighbours and their distance in Å.
Sites, in units of the cell vectors:
Mn: 0.5000 0.5000 0.5000  2 Mo 2.48, 2 Fe 2.48, 4 Mn 2.51-2.52
Mn: 0.0000 0.0000 0.5000  2 Fe 2.48, 2 Mo 2.48, 4 Mn 2.51-2.52
Fe: 0.0000 0.5000 0.0000  4 Mn 2.48, 2 Mo 2.51, 2 Fe 2.52
Mo: 0.5000 0.0000 0.0000  4 Mn 2.48, 2 Fe 2.51, 2 Mo 2.52

Summary:
- D(E_F): 1.113 states/eV/atom
- Energy of formation: 0.178 eV/atom